## Tl3WI2Cl6 (GGA-PBE)

Data for crystalline Tl3WI2Cl6 at its relaxed geometry.

a = 17.1303 Å, b = 8.7610 Å, c = 5.6951 Å
α = 90.00°, β = 90.57°, γ = 90.00°
Space group C2/m (No. 12)
Symmetry-distinct sites (fractional):
Tl 0.0000 0.0000 0.0000 x2
Tl 0.2500 0.2500 0.5000 x4
W 0.0000 0.5000 0.5000 x2
I 0.1975 0.0000 0.0481 x4
Cl 0.0614 0.3097 0.7274 x8
Cl 0.1087 0.5000 0.2558 x4

Results
Uncorrected formation energy, eV/atom: -0.784
Density of states at the Fermi level, states/eV/atom: 0.51